First-principles (GGA-PBE) data for a geometry-optimized ErTm2Mg structure, as listed in OQMD via LeMat-Bulk.

Calculated values
Energy above the lowest structure with this stoichiometry (eV per formula unit): 0.06
Total moment (μB per cell): 0.192

a b c (Å): 5.503 11.899 6.991
angles (deg): 90.00 90.00 90.00
Space group Ama2 (No. 40)
Symmetry-distinct sites (fractional):
Er 0.250 0.163 0.000
Tm 0.250 0.164 0.498
Tm 0.250 0.417 0.750
Mg 0.250 0.412 0.249

***

First-principles (GGA-PBE) data for a geometry-optimized ErMgU structure, as listed in OQMD via LeMat-Bulk.

Calculated values
Energy above the lowest structure with this stoichiometry (eV per formula unit): 0.00
Total moment (μB per cell): 13.992

a b c (Å): 7.146 7.146 7.146
angles (deg): 90.00 90.00 90.00
Space group F-43m (No. 216)
Symmetry-distinct sites (fractional):
Er 0.000 0.000 0.000
Mg 0.250 0.250 0.750
U 0.250 0.250 0.250